Entry from the Alexandria database: crystalline LaCuNi5 at its relaxed geometry (PBE-GGA).

a = 7.9072 Å, b = 4.9273 Å, c = 10.0675 Å
α = 90.00°, β = 90.00°, γ = 90.00°
With the nearest neighbours (Å) after each atom.
Fractional positions:
La 0.2392 0.2500 0.0593  7 Ni 2.78-3.09, 1 Cu 3.11
La 0.2608 0.7500 0.5593  7 Ni 2.78-3.09, 1 Cu 3.11
La 0.7392 0.2500 0.4407  7 Ni 2.78-3.09, 1 Cu 3.11
La 0.7608 0.7500 0.9407  7 Ni 2.78-3.09, 1 Cu 3.11
Cu 0.1455 0.7500 0.8542  8 Ni 2.57-2.67
Cu 0.3545 0.2500 0.3542  8 Ni 2.57-2.67
Cu 0.6455 0.7500 0.6458  8 Ni 2.57-2.67
Cu 0.8545 0.2500 0.1458  8 Ni 2.57-2.67
Ni 0.0638 0.7500 0.1020  4 Ni 2.42-2.53, 1 Cu 2.58
Ni 0.0664 0.0034 0.3113  7 Ni 2.41-2.52, 2 Cu 2.62-2.66
Ni 0.0664 0.4966 0.3113  7 Ni 2.41-2.52, 2 Cu 2.62-2.66
Ni 0.1052 0.2500 0.5187  5 Ni 2.44-2.52, 1 Cu 2.57
Ni 0.1824 0.2500 0.7554  7 Ni 2.41-2.53, 2 Cu 2.67
Ni 0.3176 0.7500 0.2554  7 Ni 2.41-2.53, 2 Cu 2.67
Ni 0.3948 0.7500 0.0187  5 Ni 2.44-2.52, 1 Cu 2.57
Ni 0.4336 0.5034 0.8113  7 Ni 2.41-2.52, 2 Cu 2.62-2.66
Ni 0.4336 0.9966 0.8113  7 Ni 2.41-2.52, 2 Cu 2.62-2.66
Ni 0.4362 0.2500 0.6020  4 Ni 2.42-2.53, 1 Cu 2.58
Ni 0.5638 0.7500 0.3980  4 Ni 2.42-2.53, 1 Cu 2.58
Ni 0.5664 0.0034 0.1887  7 Ni 2.41-2.52, 2 Cu 2.62-2.66
Ni 0.5664 0.4966 0.1887  7 Ni 2.41-2.52, 2 Cu 2.62-2.66
Ni 0.6052 0.2500 0.9813  5 Ni 2.44-2.52, 1 Cu 2.57
Ni 0.6824 0.2500 0.7446  7 Ni 2.41-2.53, 2 Cu 2.67
Ni 0.8176 0.7500 0.2446  7 Ni 2.41-2.53, 2 Cu 2.67
Ni 0.8948 0.7500 0.4813  5 Ni 2.44-2.52, 1 Cu 2.57
Ni 0.9336 0.5034 0.6887  7 Ni 2.41-2.52, 2 Cu 2.62-2.66
Ni 0.9336 0.9966 0.6887  7 Ni 2.41-2.52, 2 Cu 2.62-2.66
Ni 0.9362 0.2500 0.8980  4 Ni 2.42-2.53, 1 Cu 2.58

M_tot: 0.76 μB/f.u.
crystal system: orthorhombic
ΔE_f: -160 meV/atom
SG: Pnma

---

Entry from the Alexandria database: crystalline La2Cu5Ni5 at its relaxed geometry (PBE-GGA).

a = 4.0898 Å, b = 5.0364 Å, c = 8.7198 Å
α = 90.00°, β = 90.00°, γ = 90.00°
With the nearest neighbours (Å) after each atom.
Fractional positions:
La 0.0000 0.0000 0.0000  6 Ni 2.89-2.92
La 0.0000 0.5000 0.5000  6 Ni 2.90-2.95, 4 Cu 3.24
Cu 0.5000 0.0000 0.5000  4 Ni 2.50, 4 Cu 2.53
Cu 0.5000 0.2509 0.2488  5 Ni 2.51-2.52, 3 Cu 2.51-2.53
Cu 0.5000 0.2509 0.7512  5 Ni 2.51-2.52, 3 Cu 2.51-2.53
Cu 0.5000 0.7491 0.2488  5 Ni 2.51-2.52, 3 Cu 2.51-2.53
Cu 0.5000 0.7491 0.7512  5 Ni 2.51-2.52, 3 Cu 2.51-2.53
Ni 0.0000 0.0000 0.3352  6 Cu 2.50-2.52
Ni 0.0000 0.0000 0.6648  6 Cu 2.50-2.52
Ni 0.0000 0.5000 0.1618  2 Ni 2.48, 4 Cu 2.52
Ni 0.0000 0.5000 0.8382  2 Ni 2.48, 4 Cu 2.52
Ni 0.5000 0.5000 0.0000  4 Ni 2.48, 4 Cu 2.51

M_tot: 0.00 μB/f.u.
crystal system: orthorhombic
energy above the most stable polymorph in this dataset: 0.00 kJ/mol of atoms
ΔE_f: -253 meV/atom
SG: Pmmm

---

Entry from the Alexandria database: crystalline LaCu4Ni at its relaxed geometry (PBE-GGA).

a = 7.3456 Å, b = 3.8758 Å, c = 6.7768 Å
α = 90.00°, β = 90.00°, γ = 90.00°
With the nearest neighbours (Å) after each atom.
Fractional positions:
La 0.2500 0.0000 0.0966  1 Ni 2.55
La 0.7500 0.0000 0.9034  1 Ni 2.55
Cu 0.0000 0.0000 0.5000  2 Ni 2.36, 4 Cu 2.64
Cu 0.0476 0.5000 0.7597  2 Ni 2.46, 4 Cu 2.51-2.65
Cu 0.2500 0.5000 0.4607  8 Cu 2.51-2.68, 2 Ni 2.62
Cu 0.4524 0.5000 0.7597  2 Ni 2.46, 4 Cu 2.51-2.65
Cu 0.5000 0.0000 0.5000  2 Ni 2.36, 4 Cu 2.64
Cu 0.5476 0.5000 0.2403  2 Ni 2.46, 4 Cu 2.51-2.65
Cu 0.7500 0.5000 0.5393  8 Cu 2.51-2.68, 2 Ni 2.62
Cu 0.9524 0.5000 0.2403  2 Ni 2.46, 4 Cu 2.51-2.65
Ni 0.2500 0.0000 0.7199  8 Cu 2.36-2.62, 1 La 2.55
Ni 0.7500 0.0000 0.2801  8 Cu 2.36-2.62, 1 La 2.55

M_tot: 0.00 μB/f.u.
crystal system: orthorhombic
energy above the most stable polymorph in this dataset: 1.18 kJ/mol of atoms
ΔE_f: -75 meV/atom
SG: Pmma

---

Entry from the Alexandria database: crystalline La3CuNi3 at its relaxed geometry (PBE-GGA).

a = 5.5273 Å, b = 5.5273 Å, c = 13.3027 Å
α = 90.00°, β = 90.00°, γ = 134.26°
With the nearest neighbours (Å) after each atom.
Fractional positions:
La 0.0061 0.9939 0.7500  7 Ni 3.00-3.15, 2 Cu 3.33
La 0.2868 0.7132 0.6029  6 Ni 2.88-3.09, 1 Cu 3.23
La 0.2868 0.7132 0.8971  6 Ni 2.88-3.09, 1 Cu 3.23
La 0.7132 0.2868 0.1029  6 Ni 2.88-3.09, 1 Cu 3.23
La 0.7132 0.2868 0.3971  6 Ni 2.88-3.09, 1 Cu 3.23
La 0.9939 0.0061 0.2500  7 Ni 3.00-3.15, 2 Cu 3.33
Cu 0.0000 0.0000 0.0000  4 Ni 2.53
Cu 0.0000 0.0000 0.5000  4 Ni 2.53
Ni 0.2888 0.7112 0.2500  2 Ni 2.63
Ni 0.4294 0.5706 0.0844  2 Cu 2.53, 2 Ni 2.63-2.67
Ni 0.4294 0.5706 0.4156  2 Cu 2.53, 2 Ni 2.63-2.67
Ni 0.5706 0.4294 0.5844  2 Cu 2.53, 2 Ni 2.63-2.67
Ni 0.5706 0.4294 0.9156  2 Cu 2.53, 2 Ni 2.63-2.67
Ni 0.7112 0.2888 0.7500  2 Ni 2.63

M_tot: 0.00 μB/f.u.
crystal system: orthorhombic
ΔE_f: -303 meV/atom
SG: Cmcm

---

Entry from the Alexandria database: crystalline LaCu2Ni3 at its relaxed geometry (PBE-GGA).

a = 5.0920 Å, b = 5.0920 Å, c = 3.9737 Å
α = 90.00°, β = 90.00°, γ = 120.00°
With the nearest neighbours (Å) after each atom.
Fractional positions:
La 0.0000 0.0000 0.0000  6 Cu 2.94, 12 Ni 3.23
Cu 0.3333 0.6667 0.0000  6 Ni 2.47
Cu 0.6667 0.3333 0.0000  6 Ni 2.47
Ni 0.0000 0.5000 0.5000  4 Cu 2.47, 4 Ni 2.55
Ni 0.5000 0.0000 0.5000  4 Cu 2.47, 4 Ni 2.55
Ni 0.5000 0.5000 0.5000  4 Cu 2.47, 4 Ni 2.55

M_tot: 0.00 μB/f.u.
crystal system: hexagonal
ΔE_f: -260 meV/atom
SG: P6/mmm

---

Entry from the Alexandria database: crystalline LaCu5Ni2 at its relaxed geometry (PBE-GGA).

a = 5.9678 Å, b = 5.9678 Å, c = 5.9678 Å
α = 143.15°, β = 106.01°, γ = 85.65°
With the nearest neighbours (Å) after each atom.
Fractional positions:
La 0.0000 0.0000 0.0000  4 Ni 2.76
Cu 0.1709 0.3467 0.8242  3 Ni 2.42-2.49, 4 Cu 2.53-2.68
Cu 0.4775 0.6533 0.8242  3 Ni 2.42-2.49, 4 Cu 2.53-2.68
Cu 0.5000 0.0000 0.5000  2 Ni 2.37, 8 Cu 2.64
Cu 0.5225 0.3467 0.1758  3 Ni 2.42-2.49, 4 Cu 2.53-2.68
Cu 0.8291 0.6533 0.1758  3 Ni 2.42-2.49, 4 Cu 2.53-2.68
Ni 0.2297 0.7297 0.5000  7 Cu 2.37-2.49
Ni 0.7703 0.2703 0.5000  7 Cu 2.37-2.49

M_tot: 0.00 μB/f.u.
crystal system: orthorhombic
ΔE_f: -55 meV/atom
SG: Immm

---

Entry from the Alexandria database: crystalline La4CuNi at its relaxed geometry (PBE-GGA).

a = 6.4338 Å, b = 7.1928 Å, c = 7.9114 Å
α = 90.00°, β = 108.25°, γ = 90.00°
With the nearest neighbours (Å) after each atom.
Fractional positions:
La 0.0088 0.0024 0.2391  2 Ni 2.89-2.91, 2 Cu 3.03-3.04
La 0.0088 0.4976 0.2391  2 Ni 2.89-2.91, 2 Cu 3.03-3.04
La 0.4364 0.2500 0.6203  1 Ni 2.86, 1 Cu 3.01
La 0.4375 0.2500 0.0986  1 Ni 2.87, 1 Cu 2.96
La 0.5625 0.7500 0.9014  1 Ni 2.87, 1 Cu 2.96
La 0.5636 0.7500 0.3797  1 Ni 2.86, 1 Cu 3.01
La 0.9912 0.5024 0.7609  2 Ni 2.89-2.91, 2 Cu 3.03-3.04
La 0.9912 0.9976 0.7609  2 Ni 2.89-2.91, 2 Cu 3.03-3.04
Cu 0.2097 0.7500 0.5543  6 La 2.96-3.04
Cu 0.7903 0.2500 0.4457  6 La 2.96-3.04
Ni 0.2111 0.7500 0.0522  6 La 2.86-2.91
Ni 0.7889 0.2500 0.9478  6 La 2.86-2.91

M_tot: 0.00 μB/f.u.
crystal system: monoclinic
energy above the most stable polymorph in this dataset: 0.00 kJ/mol of atoms
ΔE_f: -151 meV/atom
SG: P2_1/m

---

Entry from the Alexandria database: crystalline La12Cu6Ni at its relaxed geometry (PBE-GGA).

a = 8.1799 Å, b = 8.1799 Å, c = 8.1799 Å
α = 93.09°, β = 93.09°, γ = 93.09°
With the nearest neighbours (Å) after each atom.
Fractional positions:
La 0.0394 0.9150 0.6750  1 Ni 2.75
La 0.0850 0.3250 0.9606  1 Ni 2.75
La 0.1864 0.4228 0.5497  4 Cu 3.04-3.16
La 0.3250 0.9606 0.0850  1 Ni 2.75
La 0.4228 0.5497 0.1864  4 Cu 3.04-3.16
La 0.4503 0.8136 0.5772  4 Cu 3.04-3.16
La 0.5497 0.1864 0.4228  4 Cu 3.04-3.16
La 0.5772 0.4503 0.8136  4 Cu 3.04-3.16
La 0.6750 0.0394 0.9150  1 Ni 2.75
La 0.8136 0.5772 0.4503  4 Cu 3.04-3.16
La 0.9150 0.6750 0.0394  1 Ni 2.75
La 0.9606 0.0850 0.3250  1 Ni 2.75
Cu 0.1463 0.7394 0.3494  8 La 3.04-3.29
Cu 0.2606 0.6506 0.8537  8 La 3.04-3.29
Cu 0.3494 0.1463 0.7394  8 La 3.04-3.29
Cu 0.6506 0.8537 0.2606  8 La 3.04-3.29
Cu 0.7394 0.3494 0.1463  8 La 3.04-3.29
Cu 0.8537 0.2606 0.6506  8 La 3.04-3.29
Ni 0.0000 0.0000 0.0000  6 La 2.75

M_tot: 0.00 μB/f.u.
crystal system: trigonal
ΔE_f: -29 meV/atom
SG: R-3

---

Entry from the Alexandria database: crystalline La2CuNi at its relaxed geometry (PBE-GGA).

a = 6.3585 Å, b = 6.3585 Å, c = 6.3585 Å
α = 147.00°, β = 139.21°, γ = 53.43°
With the nearest neighbours (Å) after each atom.
Fractional positions:
La 0.0000 0.0000 0.0000  4 Cu 3.01, 2 La 3.27
La 0.7118 0.2118 0.5000  4 Ni 2.91, 2 Cu 3.22
Cu 0.4179 0.4179 0.0000  2 Ni 2.54
Ni 0.2610 0.7610 0.5000  2 Cu 2.54

M_tot: 0.00 μB/f.u.
crystal system: orthorhombic
ΔE_f: -130 meV/atom
SG: Imm2

---

Entry from the Alexandria database: crystalline La2CuNi at its relaxed geometry (PBE-GGA).

a = 3.8964 Å, b = 4.5290 Å, c = 5.8051 Å
α = 90.00°, β = 109.09°, γ = 90.00°
With the nearest neighbours (Å) after each atom.
Fractional positions:
La 0.0000 0.0000 0.0000  3 Cu 2.97-3.24, 4 Ni 3.09-3.10
La 0.2704 0.5000 0.5456  2 Ni 2.91-2.93, 4 Cu 3.07-3.08
Cu 0.7029 0.0000 0.4103  2 Ni 2.68, 2 La 2.97-2.98
Ni 0.5737 0.5000 0.1490  2 Cu 2.68, 2 La 2.91-2.93

M_tot: 0.00 μB/f.u.
crystal system: monoclinic
ΔE_f: -245 meV/atom
SG: Pm